No. 1
Crystalline SmPt4Pb at its relaxed geometry. Source: the Open Quantum Materials Database, functional PBE.

Properties
VASP energy in eV/atom: -6.14
Magnetic moment in μB per formula unit: 0.00
Symmetry: F-43m

a b c (Å): 5.474 5.474 5.474
angles (deg): 60.00 60.00 60.00
Sites, in units of the cell vectors:
Sm (0.250, 0.250, 0.250)
Pt (0.125, 0.625, 0.625)
Pt (0.625, 0.625, 0.125)
Pt (0.625, 0.125, 0.625)
Pt (0.625, 0.625, 0.625)
Pb (0.000, 0.000, 0.000)

No. 2
Crystalline Sr2CuSb2 at its relaxed geometry. Source: the Open Quantum Materials Database, functional PBE.

Properties
VASP energy in eV/atom: -3.76
Symmetry: Cmc2_1

a b c (Å): 8.846 8.846 7.942
angles (deg): 90.00 90.00 149.46
Sites, in units of the cell vectors:
Cu (0.411, 0.589, 0.078)
Cu (0.589, 0.411, 0.578)
Sr (0.025, 0.975, 0.216)
Sr (0.214, 0.786, 0.904)
Sr (0.975, 0.025, 0.716)
Sr (0.786, 0.214, 0.404)
Sb (0.434, 0.566, 0.429)
Sb (0.843, 0.157, 0.007)
Sb (0.157, 0.843, 0.507)
Sb (0.566, 0.434, 0.929)

No. 3
Crystalline ZrIn at its relaxed geometry. Source: the Open Quantum Materials Database, functional PBE.

Properties
VASP energy in eV/atom: -5.77
Magnetic moment in μB per formula unit: 0.06
Symmetry: Amm2

a b c (Å): 5.583 8.762 5.339
angles (deg): 90.00 90.00 71.41
Last column: magnetic moment on the atom in μB.
Sites, in units of the cell vectors:
In (0.267, 0.801, 0.500)  0.00
In (0.214, 0.600, 0.000)  0.01
In (0.816, 0.396, 0.000)  0.00
In (0.468, 0.399, 0.500)  0.00
In (0.611, 0.804, 0.000)  0.00
Zr (0.396, 0.211, 0.000)  0.01
Zr (0.639, 0.996, 0.500)  0.02
Zr (0.880, 0.600, 0.500)  0.12
Zr (0.007, 0.989, 0.000)  0.01
Zr (0.035, 0.204, 0.500)  0.02

No. 4
Crystalline KCuSnTe2Se at its relaxed geometry. Source: the Open Quantum Materials Database, functional PBE.

Properties
VASP energy in eV/atom: -3.52
Symmetry: Cmcm

a b c (Å): 7.107 7.107 11.613
angles (deg): 90.00 90.00 144.70
Sites, in units of the cell vectors:
Sn (0.000, 0.000, 0.000)
Sn (0.000, 0.000, 0.500)
Te (0.653, 0.347, 0.543)
Te (0.347, 0.653, 0.043)
Te (0.653, 0.347, 0.957)
Te (0.347, 0.653, 0.457)
Se (0.022, 0.978, 0.250)
Se (0.978, 0.022, 0.750)
K (0.281, 0.719, 0.750)
K (0.719, 0.281, 0.250)
Cu (0.567, 0.433, 0.750)
Cu (0.433, 0.567, 0.250)